No. 1
This record from Alexandria via LeMat-Bulk describes ScGeIr2 after structural relaxation. The functional is PBE-GGA.

Geometry as extended XYZ:
```
4
Lattice="3.583 0.000 0.000 0.000 4.172 0.000 0.000 0.000 4.172" Properties=species:S:1:pos:R:3 pbc="T T T"
Sc 1.791 2.086 2.086
Ge 1.791 0.000 0.000
Ir 0.000 0.000 2.086
Ir 0.000 2.086 0.000
```

Calculated values
Energy: -31.364 eV/cell
Symmetry: No. 123
Theoretical density: 13.37 Mg/m³
Energy of formation from the pure elements: -0.6734 eV per atom

=====

No. 2
This record from Alexandria via LeMat-Bulk describes Ac12AgPd6 after structural relaxation. The functional is PBE-GGA.

Geometry as extended XYZ:
```
19
Lattice="-3.538 4.119 -7.726 -0.103 -9.378 -1.105 -5.242 2.344 7.497" Properties=species:S:1:pos:R:3 pbc="T T T"
Ac -5.377 2.023 3.642
Ac -2.083 -2.883 -1.525
Ac -6.800 -0.032 0.191
Ac -3.505 -4.939 -4.976
Ac -2.114 -6.451 0.434
Ac -3.338 1.010 -1.679
Ac -5.545 -3.926 0.345
Ac -6.769 3.536 -1.768
Ac -3.566 0.799 -5.737
Ac -3.228 -0.965 1.905
Ac -5.655 -1.950 -3.239
Ac -5.316 -3.714 4.403
Ag 0.000 0.000 0.000
Pd -5.919 -1.127 3.111
Pd -2.963 -1.788 -4.445
Pd -3.797 -5.231 -2.051
Pd -5.086 2.316 0.717
Pd -5.736 1.286 -3.381
Pd -3.146 -4.201 2.047
```

Calculated values
Energy: -92.961 eV/cell
Symmetry: No. 204
Theoretical density: 8.89 Mg/m³
Energy of formation from the pure elements: -0.5080 eV per atom

=====

No. 3
This record from Alexandria via LeMat-Bulk describes VMo2H after structural relaxation. The functional is PBE-GGA.

Geometry as extended XYZ:
```
8
Lattice="5.762 0.000 0.000 0.000 5.762 0.000 2.881 2.881 3.017" Properties=species:S:1:pos:R:3 pbc="T T T"
H 2.881 2.881 0.000
H 2.881 5.762 1.508
Mo 3.864 1.440 0.754
Mo 1.897 4.321 0.754
Mo 4.321 4.778 2.263
Mo 7.202 6.745 2.263
V 0.000 0.000 0.000
V 5.762 2.881 1.508
```

Calculated values
Energy: -65.037 eV/cell
Excess energy over the best structure of this formula in the dataset: 0.0 meV/atom
Symmetry: No. 122
Theoretical density: 8.09 Mg/m³

=====

No. 4
This record from Alexandria via LeMat-Bulk describes LaP3Pd10 after structural relaxation. The functional is PBE-GGA.

Geometry as extended XYZ:
```
28
Lattice="7.516 0.000 4.339 2.505 7.086 4.339 0.000 0.000 8.679" Properties=species:S:1:pos:R:3 pbc="T T T"
La 2.505 1.772 4.339
La 7.516 5.315 13.018
P 7.424 5.250 8.679
P 6.218 1.836 10.769
P 3.804 5.250 10.769
P 2.597 1.836 8.679
P 6.218 1.836 6.588
P 3.804 5.250 6.588
Pd 0.000 0.000 2.993
Pd 0.864 2.444 1.496
Pd 2.592 0.000 1.496
Pd 5.788 2.444 4.339
Pd 3.872 2.738 6.707
Pd 2.734 4.348 8.679
Pd 5.011 5.958 8.679
Pd 4.924 0.000 5.836
Pd 3.872 2.738 10.650
Pd 7.287 2.738 8.679
Pd 6.149 4.348 6.707
Pd 0.000 0.000 5.686
Pd 4.233 4.642 4.339
Pd 1.641 4.642 5.836
Pd 0.864 2.444 7.182
Pd 4.924 0.000 2.843
Pd 6.149 4.348 10.650
Pd 1.641 4.642 2.843
Pd 5.011 1.129 8.679
Pd 2.592 0.000 7.182
```

Calculated values
Energy: -163.666 eV/cell
Symmetry: No. 225
Theoretical density: 9.31 Mg/m³
Energy of formation from the pure elements: -0.6248 eV per atom